First-principles (GGA-PBEsol) data for a relaxed structure of KY2Pb, as listed in Alexandria via LeMat-Bulk. Values from VASP.

Cell and atoms, written as Quantum ESPRESSO input:
```
&SYSTEM
  ibrav = 0, nat = 4, ntyp = 3
/
ATOMIC_SPECIES
K 39.10 K.upf
Y 88.91 Y.upf
Pb 207.20 Pb.upf
CELL_PARAMETERS angstrom
3.526 0.000 0.000
0.000 4.097 0.000
0.000 0.000 10.046
ATOMIC_POSITIONS angstrom
K 0.000 0.000 0.000
Y 1.763 2.049 3.284
Y 1.763 2.049 6.762
Pb 0.000 0.000 5.023
```

Volume (Å³/cell): 145
ΔH_f (0 K) (eV/atom): 0.026